DFT (PBE) results for Hf3Zr4TiN8 after structural relaxation.

Output
Total magnetization, μB per formula unit: 0.0
Crystal system: trigonal
Space group: No. 166
N(E_F), states/eV/f.u.: 7.8
Energy relative to the elements, uncorrected, kJ/mol of atoms: -164

a b c (Å): 6.4624 6.4624 6.4624
angles (deg): 59.46 59.46 59.46
Element x y z (fractional)
Hf1 0.0000 0.5000 0.5000
Hf2 0.5000 0.0000 0.5000
Hf3 0.5000 0.5000 0.0000
Zr1 0.0000 0.0000 0.5000
Zr2 0.0000 0.5000 0.0000
Zr3 0.5000 0.0000 0.0000
Zr4 0.5000 0.5000 0.5000
Ti1 0.0000 0.0000 0.0000
N1 0.2437 0.2437 0.7470
N2 0.2437 0.7470 0.2437
N3 0.2530 0.7563 0.7563
N4 0.2548 0.2548 0.2548
N5 0.7452 0.7452 0.7452
N6 0.7470 0.2437 0.2437
N7 0.7563 0.2530 0.7563
N8 0.7563 0.7563 0.2530